1.
# Mg2ZrHRh | Alexandria | PBE | relaxed
data_Mg2ZrHRh
_cell_length_a 4.096
_cell_length_b 4.096
_cell_length_c 4.484
_cell_angle_alpha 90.00
_cell_angle_beta 90.00
_cell_angle_gamma 90.00
_symmetry_space_group_name_H-M 'P 1'
_symmetry_Int_Tables_number 1
_symmetry_space_group_name_Hall 'P 1'
loop_
_atom_site_label
_atom_site_fract_x
_atom_site_fract_y
_atom_site_fract_z
_atom_site_occupancy
Mg1 0.000 0.500 0.000 1
Mg2 0.500 0.000 0.000 1
Zr1 0.000 0.000 0.500 1
H1 0.000 0.000 0.000 1
Rh1 0.500 0.500 0.500 1
# D(E_F): 2.94 states/eV per cell
# total moment: 0.00 μB per cell
# density: 5.38 g/cm³
# VASP energy: -23.71 eV/cell
# symmetry: No. 123

---

2.
# Ho2TlCo | Alexandria | PBE | relaxed
data_Ho2TlCo
_cell_length_a 5.026
_cell_length_b 5.026
_cell_length_c 3.666
_cell_angle_alpha 90.00
_cell_angle_beta 90.00
_cell_angle_gamma 90.00
_symmetry_space_group_name_H-M 'P 1'
_symmetry_Int_Tables_number 1
_symmetry_space_group_name_Hall 'P 1'
loop_
_atom_site_label
_atom_site_fract_x
_atom_site_fract_y
_atom_site_fract_z
_atom_site_occupancy
Ho1 0.000 0.500 0.000 1
Ho2 0.500 0.000 0.000 1
Tl1 0.000 0.000 0.500 1
Co1 0.500 0.500 0.500 1
# D(E_F): 2.42 states/eV per cell
# total moment: 0.74 μB per cell
# density: 10.63 g/cm³
# symmetry: No. 123
# energy of formation: -0.118 eV/atom

---

3.
# CeHg2Bi | Alexandria | PBE | relaxed
data_CeHg2Bi
_cell_length_a 4.620
_cell_length_b 4.620
_cell_length_c 5.127
_cell_angle_alpha 90.00
_cell_angle_beta 90.00
_cell_angle_gamma 90.00
_symmetry_space_group_name_H-M 'P 1'
_symmetry_Int_Tables_number 1
_symmetry_space_group_name_Hall 'P 1'
loop_
_atom_site_label
_atom_site_fract_x
_atom_site_fract_y
_atom_site_fract_z
_atom_site_occupancy
Ce1 0.000 0.000 0.000 1
Hg1 0.000 0.500 0.500 1
Hg2 0.500 0.000 0.500 1
Bi1 0.500 0.500 0.000 1
# D(E_F): 6.81 states/eV per cell
# total moment: 0.95 μB per cell
# density: 11.38 g/cm³
# symmetry: No. 123
# energy of formation: -0.427 eV/atom

---

4.
# CaSmCdSb | Alexandria | PBE | relaxed
data_CaSmCdSb
_cell_length_a 5.408
_cell_length_b 5.408
_cell_length_c 5.408
_cell_angle_alpha 60.00
_cell_angle_beta 60.00
_cell_angle_gamma 60.00
_symmetry_space_group_name_H-M 'P 1'
_symmetry_Int_Tables_number 1
_symmetry_space_group_name_Hall 'P 1'
loop_
_atom_site_label
_atom_site_fract_x
_atom_site_fract_y
_atom_site_fract_z
_atom_site_occupancy
Ca1 0.000 0.000 0.000 1
Sm1 0.500 0.500 0.500 1
Cd1 0.750 0.750 0.750 1
Sb1 0.250 0.250 0.250 1
# D(E_F): 4.70 states/eV per cell
# total moment: 0.00 μB per cell
# density: 6.30 g/cm³
# symmetry: No. 216
# ΔE_f (raw): -52.8 kJ per mole of atoms

---

5.
# GaAg2Pt | Alexandria | PBE | relaxed
data_GaAg2Pt
_cell_length_a 10.325
_cell_length_b 10.325
_cell_length_c 10.325
_cell_angle_alpha 158.85
_cell_angle_beta 158.85
_cell_angle_gamma 30.08
_symmetry_space_group_name_H-M 'P 1'
_symmetry_Int_Tables_number 1
_symmetry_space_group_name_Hall 'P 1'
loop_
_atom_site_label
_atom_site_fract_x
_atom_site_fract_y
_atom_site_fract_z
_atom_site_occupancy
Ga1 0.000 0.000 0.000 1
Ga2 0.750 0.250 0.500 1
Ag1 0.126 0.625 0.001 1
Ag2 0.375 0.376 0.501 1
Ag3 0.624 0.125 0.999 1
Ag4 0.875 0.874 0.499 1
Pt1 0.250 0.750 0.500 1
Pt2 0.500 0.500 0.000 1
# D(E_F): 2.79 states/eV per cell
# total moment: 0.00 μB per cell
# density: 11.14 g/cm³
# symmetry: No. 122
# energy of formation: -0.013 eV/atom

---

6.
# Sr4S2NCl | Alexandria | PBE | relaxed
data_Sr4S2NCl
_cell_length_a 7.140
_cell_length_b 4.166
_cell_length_c 7.318
_cell_angle_alpha 90.00
_cell_angle_beta 108.88
_cell_angle_gamma 90.00
_symmetry_space_group_name_H-M 'P 1'
_symmetry_Int_Tables_number 1
_symmetry_space_group_name_Hall 'P 1'
loop_
_atom_site_label
_atom_site_fract_x
_atom_site_fract_y
_atom_site_fract_z
_atom_site_occupancy
Sr1 0.234 0.000 0.288 1
Sr2 0.235 0.500 0.726 1
Sr3 0.765 0.500 0.274 1
Sr4 0.766 0.000 0.712 1
S1 0.500 0.000 0.000 1
S2 0.500 0.500 0.500 1
N1 0.000 0.000 0.500 1
Cl1 0.000 0.500 0.000 1
# total moment: 0.00 μB per cell
# density: 3.74 g/cm³
# symmetry: No. 10
# ΔE_f (raw): -162.0 kJ per mole of atoms

---

7.
# K3PH | Alexandria | PBE | relaxed
data_K3PH
_cell_length_a 5.220
_cell_length_b 5.220
_cell_length_c 5.220
_cell_angle_alpha 90.00
_cell_angle_beta 90.00
_cell_angle_gamma 90.00
_symmetry_space_group_name_H-M 'P 1'
_symmetry_Int_Tables_number 1
_symmetry_space_group_name_Hall 'P 1'
loop_
_atom_site_label
_atom_site_fract_x
_atom_site_fract_y
_atom_site_fract_z
_atom_site_occupancy
K1 0.000 0.000 0.500 1
K2 0.000 0.500 0.000 1
K3 0.500 0.000 0.000 1
P1 0.500 0.500 0.500 1
H1 0.000 0.000 0.000 1
# D(E_F): 4.19 states/eV per cell
# total moment: 1.00 μB per cell
# density: 1.74 g/cm³
# relative energy among the computed polymorphs: 112 meV/atom
# symmetry: No. 221

---

8.
# OsRuRh2 | Alexandria | PBE | relaxed
data_OsRuRh2
_cell_length_a 2.712
_cell_length_b 3.841
_cell_length_c 5.428
_cell_angle_alpha 90.00
_cell_angle_beta 90.00
_cell_angle_gamma 90.00
_symmetry_space_group_name_H-M 'P 1'
_symmetry_Int_Tables_number 1
_symmetry_space_group_name_Hall 'P 1'
loop_
_atom_site_label
_atom_site_fract_x
_atom_site_fract_y
_atom_site_fract_z
_atom_site_occupancy
Os1 0.000 0.000 0.000 1
Ru1 0.500 0.500 0.762 1
Rh1 0.000 0.000 0.507 1
Rh2 0.500 0.500 0.253 1
# D(E_F): 4.79 states/eV per cell
# total moment: 0.00 μB per cell
# density: 14.60 g/cm³
# relative energy among the computed polymorphs: 1 meV/atom
# symmetry: No. 25
# energy of formation: 0.049 eV/atom

---

9.
# Li2B2Mo | Alexandria | PBE | relaxed
data_Li2B2Mo
_cell_length_a 5.462
_cell_length_b 5.462
_cell_length_c 5.462
_cell_angle_alpha 146.88
_cell_angle_beta 146.88
_cell_angle_gamma 47.54
_symmetry_space_group_name_H-M 'P 1'
_symmetry_Int_Tables_number 1
_symmetry_space_group_name_Hall 'P 1'
loop_
_atom_site_label
_atom_site_fract_x
_atom_site_fract_y
_atom_site_fract_z
_atom_site_occupancy
Li1 0.250 0.750 0.500 1
Li2 0.750 0.250 0.500 1
B1 0.085 0.085 0.000 1
B2 0.915 0.915 0.000 1
Mo1 0.500 0.500 0.000 1
# D(E_F): 1.69 states/eV per cell
# total moment: 0.00 μB per cell
# density: 4.50 g/cm³
# symmetry: No. 139
# energy of formation: 0.011 eV/atom

---

10.
# Y2HoTm6 | Alexandria | PBE | relaxed
data_Y2HoTm6
_cell_length_a 3.562
_cell_length_b 3.562
_cell_length_c 25.635
_cell_angle_alpha 90.00
_cell_angle_beta 90.00
_cell_angle_gamma 120.00
_symmetry_space_group_name_H-M 'P 1'
_symmetry_Int_Tables_number 1
_symmetry_space_group_name_Hall 'P 1'
loop_
_atom_site_label
_atom_site_fract_x
_atom_site_fract_y
_atom_site_fract_z
_atom_site_occupancy
Y1 0.000 0.000 0.174 1
Y2 0.000 0.000 0.826 1
Ho1 0.667 0.333 0.500 1
Tm1 0.000 0.000 0.391 1
Tm2 0.000 0.000 0.609 1
Tm3 0.667 0.333 0.065 1
Tm4 0.667 0.333 0.284 1
Tm5 0.667 0.333 0.716 1
Tm6 0.667 0.333 0.935 1
# D(E_F): 15.28 states/eV per cell
# total moment: 1.12 μB per cell
# density: 8.00 g/cm³
# relative energy among the computed polymorphs: 18 meV/atom
# symmetry: No. 187
# energy of formation: 0.046 eV/atom

---

11.
# TlMo2Pb | Alexandria | PBE | relaxed
data_TlMo2Pb
_cell_length_a 3.072
_cell_length_b 3.072
_cell_length_c 10.393
_cell_angle_alpha 90.00
_cell_angle_beta 90.00
_cell_angle_gamma 113.44
_symmetry_space_group_name_H-M 'P 1'
_symmetry_Int_Tables_number 1
_symmetry_space_group_name_Hall 'P 1'
loop_
_atom_site_label
_atom_site_fract_x
_atom_site_fract_y
_atom_site_fract_z
_atom_site_occupancy
Tl1 0.000 0.000 0.000 1
Mo1 0.000 0.000 0.429 1
Mo2 0.500 0.500 0.252 1
Pb1 0.500 0.500 0.678 1
# D(E_F): 2.60 states/eV per cell
# total moment: 0.00 μB per cell
# density: 11.13 g/cm³
# relative energy among the computed polymorphs: 108 meV/atom
# symmetry: No. 35
# energy of formation: 0.519 eV/atom

---

12.
# GaCo3H | Alexandria | PBE | relaxed
data_GaCo3H
_cell_length_a 4.815
_cell_length_b 4.815
_cell_length_c 5.059
_cell_angle_alpha 90.00
_cell_angle_beta 90.00
_cell_angle_gamma 117.63
_symmetry_space_group_name_H-M 'P 1'
_symmetry_Int_Tables_number 1
_symmetry_space_group_name_Hall 'P 1'
loop_
_atom_site_label
_atom_site_fract_x
_atom_site_fract_y
_atom_site_fract_z
_atom_site_occupancy
Ga1 0.029 0.971 0.750 1
Ga2 0.971 0.029 0.250 1
Co1 0.014 0.539 0.250 1
Co2 0.461 0.986 0.250 1
Co3 0.500 0.500 0.000 1
Co4 0.500 0.500 0.500 1
Co5 0.539 0.014 0.750 1
Co6 0.986 0.461 0.750 1
H1 0.371 0.629 0.750 1
H2 0.629 0.371 0.250 1
# D(E_F): 9.97 states/eV per cell
# total moment: 7.82 μB per cell
# density: 7.91 g/cm³
# relative energy among the computed polymorphs: 253 meV/atom
# symmetry: No. 63